# 1
A relaxed PmErHgAu crystal, computed with GGA-PBE.

abc: 3.6789 3.6789 7.4249
angles: 90.00 90.00 90.00
With the nearest neighbours (Å) after each atom.
Element x y z (fractional)
Pm 0.0000 0.0000 0.0000  4 Au 3.26, 4 Hg 3.30, 1 Er 3.55
Er 0.0000 0.0000 0.4779  4 Au 3.05, 4 Hg 3.19
Hg 0.5000 0.5000 0.7266  4 Er 3.19, 4 Pm 3.30, 1 Au 3.44
Au 0.5000 0.5000 0.2638  4 Er 3.05, 4 Pm 3.26

- Space-group type: P4mm
- Energy relative to the elements: -654 meV per atom
- Energy above the most stable polymorph in this dataset: 0 meV per atom

=====

# 2
A relaxed Li2SmGa2 crystal, computed with GGA-PBE.

abc: 12.5324 12.5324 12.5324
angles: 161.20 160.52 27.20
With the nearest neighbours (Å) after each atom.
Element x y z (fractional)
Li 0.2006 0.4506 0.7500  2 Ga 2.66, 4 Li 2.95
Li 0.2994 0.0494 0.2500  2 Ga 2.72, 4 Li 2.95
Li 0.7006 0.9506 0.7500  2 Ga 2.72, 4 Li 2.95
Li 0.7994 0.5494 0.2500  2 Ga 2.66, 4 Li 2.95
Sm 0.4254 0.6754 0.7500  10 Ga 3.16-3.27
Sm 0.5746 0.3246 0.2500  10 Ga 3.16-3.27
Ga 0.0277 0.7777 0.2500  3 Ga 2.45-2.50
Ga 0.1305 0.8805 0.2500  1 Ga 2.50, 4 Li 2.66-2.72
Ga 0.8695 0.1195 0.7500  1 Ga 2.50, 4 Li 2.66-2.72
Ga 0.9723 0.2223 0.7500  3 Ga 2.45-2.50

- Space-group type: Imma
- Energy relative to the elements: -377 meV per atom

=====

# 3
A relaxed SmScP crystal, computed with GGA-PBE.

abc: 4.4031 4.4031 4.1669
angles: 90.00 90.00 120.00
With the nearest neighbours (Å) after each atom.
Element x y z (fractional)
Sm 0.0000 0.0000 0.0000  3 P 3.02, 6 Sc 3.28-3.30
Sc 0.6667 0.3333 0.4960  3 P 2.58
P 0.3333 0.6667 0.3902  3 Sc 2.58

- Space-group type: P3m1
- Energy relative to the elements: -707 meV per atom

=====

# 4
A relaxed Na2Tl2Cd3 crystal, computed with GGA-PBE.

abc: 11.5397 11.5397 3.3252
angles: 90.00 90.00 155.43
With the nearest neighbours (Å) after each atom.
Element x y z (fractional)
Na 0.1432 0.8568 0.0000  5 Cd 3.23-3.42, 4 Tl 3.31, 2 Na 3.33
Na 0.8568 0.1432 0.0000  5 Cd 3.23-3.42, 4 Tl 3.31, 2 Na 3.33
Tl 0.2919 0.7081 0.5000  4 Tl 3.10-3.33, 1 Cd 3.17, 4 Na 3.31
Tl 0.7081 0.2919 0.5000  4 Tl 3.10-3.33, 1 Cd 3.17, 4 Na 3.31
Cd 0.0000 0.0000 0.0000  2 Na 3.23, 10 Cd 3.33
Cd 0.4324 0.5676 0.5000  7 Cd 3.05-3.33, 1 Tl 3.17
Cd 0.5676 0.4324 0.5000  7 Cd 3.05-3.33, 1 Tl 3.17

- Space-group type: Cmmm
- Energy relative to the elements: -44 meV per atom
- Energy above the most stable polymorph in this dataset: 3 meV per atom

=====

# 5
A relaxed HfAsBr2F crystal, computed with GGA-PBE.

abc: 5.2204 5.2204 3.9314
angles: 90.00 90.00 90.00
With the nearest neighbours (Å) after each atom.
Element x y z (fractional)
Hf 0.0000 0.0000 0.0000  8 Br 3.27
As 0.5000 0.5000 0.0000  2 F 1.97
Br 0.0000 0.5000 0.5000  2 F 2.61
Br 0.5000 0.0000 0.5000  2 F 2.61
F 0.5000 0.5000 0.5000  2 As 1.97

- Space-group type: P4/mmm
- Energy above the most stable polymorph in this dataset: 569 meV per atom

=====

# 6
A relaxed Sm5Er3Sb8 crystal, computed with GGA-PBE.

abc: 8.8540 8.8540 8.8540
angles: 60.03 60.03 60.03
With the nearest neighbours (Å) after each atom.
Element x y z (fractional)
Sm 0.0000 0.0000 0.0000  6 Sb 3.13
Sm 0.0000 0.5000 0.5000  6 Sb 3.16
Sm 0.5000 0.0000 0.5000  6 Sb 3.16
Sm 0.5000 0.5000 0.0000  6 Sb 3.16
Sm 0.5000 0.5000 0.5000  6 Sb 3.13
Er 0.0000 0.0000 0.5000  6 Sb 3.10
Er 0.0000 0.5000 0.0000  6 Sb 3.10
Er 0.5000 0.0000 0.0000  6 Sb 3.10
Sb 0.2447 0.7500 0.7500  2 Er 3.10, 4 Sm 3.13-3.16
Sb 0.2474 0.2474 0.2474  3 Er 3.10, 3 Sm 3.16
Sb 0.2500 0.2500 0.7553  2 Er 3.10, 4 Sm 3.13-3.16
Sb 0.2500 0.7553 0.2500  2 Er 3.10, 4 Sm 3.13-3.16
Sb 0.7500 0.2447 0.7500  2 Er 3.10, 4 Sm 3.13-3.16
Sb 0.7500 0.7500 0.2447  2 Er 3.10, 4 Sm 3.13-3.16
Sb 0.7526 0.7526 0.7526  3 Er 3.10, 3 Sm 3.16
Sb 0.7553 0.2500 0.2500  2 Er 3.10, 4 Sm 3.13-3.16

- Space-group type: R-3m
- Total energy: -88.54 eV for the cell shown

=====

# 7
A relaxed Ga2GePb crystal, computed with GGA-PBE.

abc: 5.0306 5.0306 5.0306
angles: 60.00 60.00 60.00
With the nearest neighbours (Å) after each atom.
Element x y z (fractional)
Ga 0.2500 0.2500 0.2500  4 Pb 3.08, 4 Ge 3.08
Ga 0.7500 0.7500 0.7500  4 Pb 3.08, 4 Ge 3.08
Ge 0.0000 0.0000 0.0000  8 Ga 3.08
Pb 0.5000 0.5000 0.5000  8 Ga 3.08

- Space-group type: Fm-3m
- Energy relative to the elements: 172 meV per atom
- Energy above the most stable polymorph in this dataset: 66 meV per atom

=====

# 8
A relaxed BiTe2C crystal, computed with GGA-PBE.

abc: 7.7938 7.7938 7.7938
angles: 28.65 28.65 28.65
With the nearest neighbours (Å) after each atom.
Element x y z (fractional)
Bi 0.0000 0.0000 0.0000  6 Te 3.24
Te 0.2286 0.2286 0.2286  3 C 2.62
Te 0.7714 0.7714 0.7714  3 C 2.62
C 0.5000 0.5000 0.5000  6 Te 2.62

- Space-group type: R-3m
- Energy above the most stable polymorph in this dataset: 102 meV per atom

=====

What did the eighth record say?
A relaxed BiTe2C crystal, computed with GGA-PBE.

abc: 7.7938 7.7938 7.7938
angles: 28.65 28.65 28.65
With the nearest neighbours (Å) after each atom.
Element x y z (fractional)
Bi 0.0000 0.0000 0.0000  6 Te 3.24
Te 0.2286 0.2286 0.2286  3 C 2.62
Te 0.7714 0.7714 0.7714  3 C 2.62
C 0.5000 0.5000 0.5000  6 Te 2.62

- Space-group type: R-3m
- Energy above the most stable polymorph in this dataset: 102 meV per atom

=====

Please write out number 7 again, unchanged.
A relaxed Ga2GePb crystal, computed with GGA-PBE.

abc: 5.0306 5.0306 5.0306
angles: 60.00 60.00 60.00
With the nearest neighbours (Å) after each atom.
Element x y z (fractional)
Ga 0.2500 0.2500 0.2500  4 Pb 3.08, 4 Ge 3.08
Ga 0.7500 0.7500 0.7500  4 Pb 3.08, 4 Ge 3.08
Ge 0.0000 0.0000 0.0000  8 Ga 3.08
Pb 0.5000 0.5000 0.5000  8 Ga 3.08

- Space-group type: Fm-3m
- Energy relative to the elements: 172 meV per atom
- Energy above the most stable polymorph in this dataset: 66 meV per atom